(1)
{
  "formula": "K6Rb9Na",
  "functional": "PBE",
  "state": "relaxed",
  "lattice": [[-5.755, 5.755, 9.807], [5.755, -5.755, 9.807], [5.755, 5.755, -9.807]],
  "species": ["K", "K", "K", "K", "K", "K", "Rb", "Rb", "Rb", "Rb", "Rb", "Rb", "Rb", "Rb", "Rb", "Na"],
  "frac_coords": [[0.106, 0.683, 0.789], [0.195, 0.195, 0.000], [0.317, 0.106, 0.424], [0.683, 0.894, 0.576], [0.805, 0.805, 0.000], [0.894, 0.317, 0.211], [0.027, 0.218, 0.565], [0.218, 0.653, 0.191], [0.347, 0.538, 0.565], [0.462, 0.027, 0.809], [0.500, 0.500, 0.000], [0.538, 0.973, 0.191], [0.653, 0.462, 0.435], [0.782, 0.347, 0.809], [0.973, 0.782, 0.435], [0.000, 0.000, 0.000]],
  "magnetic_moment_mub_per_cell": 0.000,
  "total_energy_ev_per_atom": -1.016
}


(2)
{
  "formula": "K2Rb9Na3",
  "functional": "PBE",
  "state": "relaxed",
  "lattice": [[11.001, -6.304, 0.000], [11.001, 6.304, 0.000], [-7.316, 0.000, 15.597]],
  "species": ["K", "K", "K", "K", "Rb", "Rb", "Rb", "Rb", "Rb", "Rb", "Rb", "Rb", "Rb", "Rb", "Rb", "Rb", "Rb", "Rb", "Rb", "Rb", "Rb", "Rb", "Na", "Na", "Na", "Na", "Na", "Na"],
  "frac_coords": [[0.085, 0.252, 0.250], [0.252, 0.085, 0.750], [0.748, 0.915, 0.250], [0.915, 0.748, 0.750], [0.005, 0.882, 0.081], [0.118, 0.995, 0.419], [0.171, 0.361, 0.581], [0.177, 0.581, 0.252], [0.297, 0.482, 0.943], [0.342, 0.658, 0.750], [0.361, 0.171, 0.081], [0.419, 0.823, 0.248], [0.482, 0.297, 0.443], [0.518, 0.703, 0.557], [0.581, 0.177, 0.752], [0.639, 0.829, 0.919], [0.658, 0.342, 0.250], [0.703, 0.518, 0.057], [0.823, 0.419, 0.748], [0.829, 0.639, 0.419], [0.882, 0.005, 0.581], [0.995, 0.118, 0.919], [0.000, 0.500, 0.000], [0.170, 0.665, 0.501], [0.335, 0.830, 0.999], [0.500, 0.000, 0.500], [0.665, 0.170, 0.001], [0.830, 0.335, 0.499]],
  "magnetic_moment_mub_per_cell": 0.000,
  "total_energy_ev_per_atom": -1.024
}


(3)
{
  "formula": "K8RbNa6",
  "functional": "PBE",
  "state": "relaxed",
  "lattice": [[5.919, 3.417, 7.308], [-5.919, 3.417, 7.308], [0.000, -6.834, 7.308]],
  "species": ["K", "K", "K", "K", "K", "K", "K", "K", "Rb", "Na", "Na", "Na", "Na", "Na", "Na"],
  "frac_coords": [[0.108, 0.108, 0.108], [0.120, 0.559, 0.267], [0.267, 0.120, 0.559], [0.441, 0.733, 0.880], [0.559, 0.267, 0.120], [0.733, 0.880, 0.441], [0.880, 0.441, 0.733], [0.892, 0.892, 0.892], [0.500, 0.500, 0.500], [0.132, 0.808, 0.515], [0.192, 0.485, 0.868], [0.485, 0.868, 0.192], [0.515, 0.132, 0.808], [0.808, 0.515, 0.132], [0.868, 0.192, 0.485]],
  "polymorph_energy_mev_per_atom": 0,
  "magnetic_moment_mub_per_cell": 0.000
}


(4)
{
  "formula": "K16Rb7Na6",
  "functional": "PBE",
  "state": "relaxed",
  "lattice": [[0.000, 10.360, 10.360], [10.360, 0.000, 10.360], [10.360, 10.360, 0.000]],
  "species": ["K", "K", "K", "K", "K", "K", "K", "K", "K", "K", "K", "K", "K", "K", "K", "K", "Rb", "Rb", "Rb", "Rb", "Rb", "Rb", "Rb", "Na", "Na", "Na", "Na", "Na", "Na"],
  "frac_coords": [[0.066, 0.645, 0.645], [0.122, 0.122, 0.122], [0.122, 0.122, 0.634], [0.122, 0.634, 0.122], [0.355, 0.355, 0.355], [0.355, 0.355, 0.934], [0.355, 0.934, 0.355], [0.366, 0.878, 0.878], [0.634, 0.122, 0.122], [0.645, 0.066, 0.645], [0.645, 0.645, 0.066], [0.645, 0.645, 0.645], [0.878, 0.366, 0.878], [0.878, 0.878, 0.366], [0.878, 0.878, 0.878], [0.934, 0.355, 0.355], [0.000, 0.000, 0.000], [0.000, 0.000, 0.500], [0.000, 0.500, 0.000], [0.000, 0.500, 0.500], [0.500, 0.000, 0.000], [0.500, 0.000, 0.500], [0.500, 0.500, 0.000], [0.367, 0.367, 0.633], [0.367, 0.633, 0.367], [0.367, 0.633, 0.633], [0.633, 0.367, 0.367], [0.633, 0.367, 0.633], [0.633, 0.633, 0.367]],
  "magnetic_moment_mub_per_cell": 0.000,
  "total_energy_ev_per_atom": -0.994
}


(5)
{
  "formula": "KRb3Na",
  "functional": "PBE",
  "state": "relaxed",
  "lattice": [[7.904, 0.000, 0.000], [0.000, 7.904, 0.000], [0.000, 0.000, 7.904]],
  "species": ["K", "Rb", "Rb", "Rb", "Na"],
  "frac_coords": [[0.000, 0.000, 0.000], [0.000, 0.000, 0.500], [0.000, 0.500, 0.000], [0.500, 0.000, 0.000], [0.500, 0.500, 0.500]],
  "polymorph_energy_mev_per_atom": 225,
  "magnetic_moment_mub_per_cell": 0.000
}


(6)
{
  "formula": "K6RbNa8",
  "functional": "PBE",
  "state": "relaxed",
  "lattice": [[11.131, 0.000, 0.000], [-5.566, 9.640, 0.000], [0.000, 0.000, 7.622]],
  "species": ["K", "K", "K", "K", "K", "K", "Rb", "Na", "Na", "Na", "Na", "Na", "Na", "Na", "Na"],
  "frac_coords": [[0.093, 0.648, 0.189], [0.352, 0.444, 0.189], [0.444, 0.093, 0.811], [0.556, 0.907, 0.189], [0.648, 0.556, 0.811], [0.907, 0.352, 0.811], [0.000, 0.000, 0.000], [0.059, 0.769, 0.647], [0.231, 0.290, 0.647], [0.290, 0.059, 0.353], [0.333, 0.667, 0.681], [0.667, 0.333, 0.319], [0.710, 0.941, 0.647], [0.769, 0.710, 0.353], [0.941, 0.231, 0.353]],
  "magnetic_moment_mub_per_cell": 0.000,
  "total_energy_ev_per_atom": -1.158
}


(7)
{
  "formula": "K3Rb3Na",
  "functional": "PBE",
  "state": "relaxed",
  "lattice": [[11.622, 0.000, 0.000], [0.000, 11.622, 0.000], [0.000, 0.000, 11.622]],
  "species": ["K", "K", "K", "K", "K", "K", "Rb", "Rb", "Rb", "Rb", "Rb", "Rb", "Na", "Na"],
  "frac_coords": [[0.000, 0.250, 0.500], [0.000, 0.750, 0.500], [0.250, 0.500, 0.000], [0.500, 0.000, 0.250], [0.500, 0.000, 0.750], [0.750, 0.500, 0.000], [0.000, 0.500, 0.250], [0.000, 0.500, 0.750], [0.250, 0.000, 0.500], [0.500, 0.250, 0.000], [0.500, 0.750, 0.000], [0.750, 0.000, 0.500], [0.000, 0.000, 0.000], [0.500, 0.500, 0.500]],
  "polymorph_energy_mev_per_atom": 334,
  "magnetic_moment_mub_per_cell": 0.000
}


(8)
{
  "formula": "K3Rb4Na",
  "functional": "PBE",
  "state": "relaxed",
  "lattice": [[4.915, 0.000, 0.000], [0.000, 4.915, 0.000], [0.000, 0.000, 25.294]],
  "species": ["K", "K", "K", "Rb", "Rb", "Rb", "Rb", "Na"],
  "frac_coords": [[0.000, 0.000, 0.000], [0.000, 0.000, 0.269], [0.000, 0.000, 0.731], [0.500, 0.500, 0.135], [0.500, 0.500, 0.401], [0.500, 0.500, 0.599], [0.500, 0.500, 0.865], [0.000, 0.000, 0.500]],
  "magnetic_moment_mub_per_cell": 0.000,
  "total_energy_ev_per_atom": -1.045
}


(9)
{
  "formula": "K2RbNa2",
  "functional": "PBE",
  "state": "relaxed",
  "lattice": [[18.134, 0.000, 0.000], [0.000, 4.548, 0.000], [-1.576, 0.000, 7.541]],
  "species": ["K", "K", "K", "K", "Rb", "Rb", "Na", "Na", "Na", "Na"],
  "frac_coords": [[0.131, 0.000, 0.068], [0.369, 0.500, 0.932], [0.631, 0.500, 0.068], [0.869, 0.000, 0.932], [0.000, 0.500, 0.500], [0.500, 0.000, 0.500], [0.205, 0.000, 0.619], [0.295, 0.500, 0.381], [0.705, 0.500, 0.619], [0.795, 0.000, 0.381]],
  "polymorph_energy_mev_per_atom": 19,
  "magnetic_moment_mub_per_cell": 0.000
}


(10)
{
  "formula": "K7Rb3Na2",
  "functional": "PBE",
  "state": "relaxed",
  "lattice": [[7.395, 0.000, 0.000], [0.000, 4.892, 0.000], [-3.362, 0.000, 23.650]],
  "species": ["K", "K", "K", "K", "K", "K", "K", "Rb", "Rb", "Rb", "Na", "Na"],
  "frac_coords": [[0.000, 0.000, 0.000], [0.083, 0.500, 0.174], [0.272, 0.500, 0.545], [0.423, 0.000, 0.839], [0.577, 0.000, 0.161], [0.728, 0.500, 0.455], [0.917, 0.500, 0.826], [0.173, 0.000, 0.350], [0.500, 0.500, 0.000], [0.827, 0.000, 0.650], [0.356, 0.500, 0.708], [0.644, 0.500, 0.292]],
  "magnetic_moment_mub_per_cell": 0.000,
  "total_energy_ev_per_atom": -1.069
}


(11)
{
  "formula": "KRb12Na6",
  "functional": "PBE",
  "state": "relaxed",
  "lattice": [[7.622, 4.401, 6.716], [-7.622, 4.401, 6.716], [0.000, -8.801, 6.716]],
  "species": ["K", "Rb", "Rb", "Rb", "Rb", "Rb", "Rb", "Rb", "Rb", "Rb", "Rb", "Rb", "Rb", "Na", "Na", "Na", "Na", "Na", "Na"],
  "frac_coords": [[0.000, 0.000, 0.000], [0.021, 0.379, 0.156], [0.156, 0.021, 0.379], [0.196, 0.572, 0.462], [0.379, 0.156, 0.021], [0.428, 0.538, 0.804], [0.462, 0.196, 0.572], [0.538, 0.804, 0.428], [0.572, 0.462, 0.196], [0.621, 0.844, 0.979], [0.804, 0.428, 0.538], [0.844, 0.979, 0.621], [0.979, 0.621, 0.844], [0.101, 0.251, 0.740], [0.251, 0.740, 0.101], [0.260, 0.899, 0.749], [0.740, 0.101, 0.251], [0.749, 0.260, 0.899], [0.899, 0.749, 0.260]],
  "magnetic_moment_mub_per_cell": 0.000,
  "total_energy_ev_per_atom": -1.049
}


(12)
{
  "formula": "K4Rb3Na4",
  "functional": "PBE",
  "state": "relaxed",
  "lattice": [[-2.277, 3.480, 22.082], [2.277, -3.480, 22.082], [2.277, 3.480, -22.082]],
  "species": ["K", "K", "K", "K", "Rb", "Rb", "Rb", "Na", "Na", "Na", "Na"],
  "frac_coords": [[0.092, 0.092, 0.000], [0.265, 0.765, 0.500], [0.735, 0.235, 0.500], [0.908, 0.908, 0.000], [0.000, 0.500, 0.500], [0.360, 0.360, 0.000], [0.640, 0.640, 0.000], [0.183, 0.183, 0.000], [0.458, 0.958, 0.500], [0.542, 0.042, 0.500], [0.817, 0.817, 0.000]],
  "polymorph_energy_mev_per_atom": 9,
  "magnetic_moment_mub_per_cell": 0.000
}


(13)
{
  "formula": "KRb9Na2",
  "functional": "PBE",
  "state": "relaxed",
  "lattice": [[6.840, 0.000, 0.000], [0.000, 6.840, 0.000], [0.000, 0.000, 20.251]],
  "species": ["K", "Rb", "Rb", "Rb", "Rb", "Rb", "Rb", "Rb", "Rb", "Rb", "Na", "Na"],
  "frac_coords": [[0.000, 0.000, 0.000], [0.000, 0.500, 0.180], [0.000, 0.500, 0.500], [0.000, 0.500, 0.820], [0.500, 0.000, 0.180], [0.500, 0.000, 0.500], [0.500, 0.000, 0.820], [0.500, 0.500, 0.000], [0.500, 0.500, 0.340], [0.500, 0.500, 0.660], [0.000, 0.000, 0.339], [0.000, 0.000, 0.661]],
  "magnetic_moment_mub_per_cell": 0.000,
  "total_energy_ev_per_atom": -1.012
}


(14)
{
  "formula": "K8Rb6Na",
  "functional": "PBE",
  "state": "relaxed",
  "lattice": [[5.327, 3.075, 12.700], [-5.327, 3.075, 12.700], [0.000, -6.151, 12.700]],
  "species": ["K", "K", "K", "K", "K", "K", "K", "K", "Rb", "Rb", "Rb", "Rb", "Rb", "Rb", "Na"],
  "frac_coords": [[0.082, 0.566, 0.265], [0.201, 0.201, 0.201], [0.265, 0.082, 0.566], [0.434, 0.735, 0.918], [0.566, 0.265, 0.082], [0.735, 0.918, 0.434], [0.799, 0.799, 0.799], [0.918, 0.434, 0.735], [0.203, 0.777, 0.336], [0.223, 0.664, 0.797], [0.336, 0.203, 0.777], [0.664, 0.797, 0.223], [0.777, 0.336, 0.203], [0.797, 0.223, 0.664], [0.500, 0.500, 0.500]],
  "polymorph_energy_mev_per_atom": 49,
  "magnetic_moment_mub_per_cell": 0.000
}


(15)
{
  "formula": "K3Rb10Na3",
  "functional": "PBE",
  "state": "relaxed",
  "lattice": [[12.790, 0.000, 0.000], [-6.395, 11.076, 0.000], [0.000, 0.000, 8.754]],
  "species": ["K", "K", "K", "Rb", "Rb", "Rb", "Rb", "Rb", "Rb", "Rb", "Rb", "Rb", "Rb", "Na", "Na", "Na"],
  "frac_coords": [[0.000, 0.415, 0.000], [0.415, 0.000, 0.000], [0.585, 0.585, 0.000], [0.000, 0.241, 0.500], [0.000, 0.767, 0.000], [0.233, 0.233, 0.000], [0.241, 0.000, 0.500], [0.333, 0.667, 0.263], [0.333, 0.667, 0.737], [0.667, 0.333, 0.263], [0.667, 0.333, 0.737], [0.759, 0.759, 0.500], [0.767, 0.000, 0.000], [0.000, 0.599, 0.500], [0.401, 0.401, 0.500], [0.599, 0.000, 0.500]],
  "magnetic_moment_mub_per_cell": 0.000,
  "total_energy_ev_per_atom": -1.022
}


(16)
{
  "formula": "K5Rb3Na",
  "functional": "PBE",
  "state": "relaxed",
  "lattice": [[12.575, 0.000, 0.000], [-6.288, 10.890, 0.000], [0.000, 0.000, 4.887]],
  "species": ["K", "K", "K", "K", "K", "Rb", "Rb", "Rb", "Na"],
  "frac_coords": [[0.000, 0.731, 0.000], [0.269, 0.269, 0.000], [0.333, 0.667, 0.000], [0.667, 0.333, 0.000], [0.731, 0.000, 0.000], [0.000, 0.370, 0.500], [0.370, 0.000, 0.500], [0.630, 0.630, 0.500], [0.000, 0.000, 0.500]],
  "polymorph_energy_mev_per_atom": 0,
  "magnetic_moment_mub_per_cell": 0.000
}


(17)
{
  "formula": "K4Rb15Na",
  "functional": "PBE",
  "state": "relaxed",
  "lattice": [[7.065, 0.000, 0.000], [0.000, 7.065, 0.000], [0.000, 0.000, 33.631]],
  "species": ["K", "K", "K", "K", "Rb", "Rb", "Rb", "Rb", "Rb", "Rb", "Rb", "Rb", "Rb", "Rb", "Rb", "Rb", "Rb", "Rb", "Rb", "Na"],
  "frac_coords": [[0.000, 0.000, 0.101], [0.000, 0.000, 0.306], [0.000, 0.000, 0.694], [0.000, 0.000, 0.899], [0.000, 0.500, 0.000], [0.000, 0.500, 0.203], [0.000, 0.500, 0.409], [0.000, 0.500, 0.591], [0.000, 0.500, 0.797], [0.500, 0.000, 0.000], [0.500, 0.000, 0.203], [0.500, 0.000, 0.409], [0.500, 0.000, 0.591], [0.500, 0.000, 0.797], [0.500, 0.500, 0.101], [0.500, 0.500, 0.306], [0.500, 0.500, 0.500], [0.500, 0.500, 0.694], [0.500, 0.500, 0.899], [0.000, 0.000, 0.500]],
  "magnetic_moment_mub_per_cell": 0.000,
  "total_energy_ev_per_atom": -1.000
}


(18)
{
  "formula": "KRb5Na4",
  "functional": "PBE",
  "state": "relaxed",
  "lattice": [[4.956, 0.000, 0.000], [0.000, 4.956, 0.000], [0.000, 0.000, 26.554]],
  "species": ["K", "Rb", "Rb", "Rb", "Rb", "Rb", "Na", "Na", "Na", "Na"],
  "frac_coords": [[0.000, 0.000, 0.000], [0.500, 0.500, 0.123], [0.500, 0.500, 0.311], [0.500, 0.500, 0.500], [0.500, 0.500, 0.689], [0.500, 0.500, 0.877], [0.000, 0.000, 0.217], [0.000, 0.000, 0.404], [0.000, 0.000, 0.596], [0.000, 0.000, 0.783]],
  "magnetic_moment_mub_per_cell": 0.000,
  "total_energy_ev_per_atom": -1.090
}


(19)
{
  "formula": "K5Rb5Na",
  "functional": "PBE",
  "state": "relaxed",
  "lattice": [[11.076, -3.677, 0.000], [11.076, 3.677, 0.000], [-9.434, 0.000, 11.001]],
  "species": ["K", "K", "K", "K", "K", "Rb", "Rb", "Rb", "Rb", "Rb", "Na"],
  "frac_coords": [[0.000, 0.000, 0.000], [0.329, 0.329, 0.016], [0.329, 0.329, 0.641], [0.671, 0.671, 0.359], [0.671, 0.671, 0.984], [0.002, 0.002, 0.696], [0.246, 0.246, 0.246], [0.500, 0.500, 0.500], [0.754, 0.754, 0.754], [0.998, 0.998, 0.304], [0.500, 0.500, 0.000]],
  "polymorph_energy_mev_per_atom": 14,
  "magnetic_moment_mub_per_cell": 0.000
}


Short version: DOS at the Fermi energy = 13.6 22.1 10.1 26.9 5.9 8.4 13.6 6.0 6.9 9.0 15.6 7.2 9.2 11.4 11.4 6.7 14.2 6.4 10.5 states/eV per cell, in the order given.